## K3CoBr6 (PBE)

Data for an optimized crystal structure of K3CoBr6.

Cell lengths 8.8974, 8.8974, 8.8974 Å; angles 89.32, 89.32, 89.32 degrees
Atoms (fractional coordinates):
Br1 0.4535 0.5508 0.7667
Br2 0.9298 0.0935 0.2493
Br3 0.2493 0.9298 0.0935
Co1 0.0000 0.0000 0.0000
Br4 0.0935 0.2493 0.9298
Br5 0.5465 0.4492 0.2333
K1 0.4406 0.9231 0.7664
Co2 0.5000 0.5000 0.5000
Br6 0.5508 0.7667 0.4535
K2 0.7664 0.4406 0.9231
Br7 0.9065 0.7507 0.0702
Br8 0.4492 0.2333 0.5465
K3 0.0769 0.2336 0.5594
Br9 0.2333 0.5465 0.4492
K4 0.9231 0.7664 0.4406
K5 0.5594 0.0769 0.2336
Br10 0.7507 0.0702 0.9065
Br11 0.7667 0.4535 0.5508
Br12 0.0702 0.9065 0.7507
K6 0.2336 0.5594 0.0769

Calculated values
**Symmetry**: No. 148
**Energy relative to the elements, uncorrected**: -1117.3 meV per atom
**Energy relative to the lowest polymorph listed for this composition**: 0.11 eV per formula unit


## Ce2Sb3Pd (PBE)

Data for an optimized crystal structure of Ce2Sb3Pd.

Cell lengths 4.4808, 6.4055, 7.1072 Å; angles 116.78, 108.37, 90.00 degrees
Atoms (fractional coordinates):
Pd1 0.0000 0.5000 0.0000
Sb1 0.3646 0.3646 0.7291
Sb2 0.0000 0.0000 0.0000
Ce1 0.3162 0.8162 0.6325
Sb3 0.6354 0.6354 0.2709
Ce2 0.6838 0.1838 0.3675

Calculated values
**Symmetry**: No. 71
**Energy relative to the elements, uncorrected**: -654.3 meV per atom


## BaHfMg14 (PBE)

Data for an optimized crystal structure of BaHfMg14.

Cell lengths 6.6399, 6.6399, 10.4294 Å; angles 90.00, 90.00, 120.00 degrees
Atoms (fractional coordinates):
Mg1 0.1697 0.3394 0.7326
Mg2 0.6606 0.8303 0.7326
Mg3 0.4913 0.5087 0.0000
Mg4 0.4913 0.9825 0.0000
Mg5 0.0175 0.5087 0.0000
Mg6 0.5021 0.0043 0.5000
Mg7 0.6606 0.8303 0.2674
Mg8 0.5021 0.4979 0.5000
Ba1 0.0000 0.0000 0.0000
Mg9 0.6667 0.3333 0.2417
Mg10 0.1697 0.8303 0.7326
Mg11 0.1697 0.3394 0.2674
Mg12 0.1697 0.8303 0.2674
Mg13 0.6667 0.3333 0.7583
Hf1 0.0000 0.0000 0.5000
Mg14 0.9957 0.4979 0.5000

Calculated values
**E_form**: 0.11 eV per atom
**Symmetry**: No. 187
**Energy relative to the lowest polymorph listed for this composition**: 0.00 eV per formula unit


## TmCdSb (PBE)

Data for an optimized crystal structure of TmCdSb.

Cell lengths 5.7641, 8.2038, 18.4456 Å; angles 156.74, 146.04, 27.84 degrees
Atoms (fractional coordinates):
Cd1 0.7312 0.0326 0.7443
Sb1 0.7190 0.8668 0.1474
Tm1 0.8552 0.7990 0.9850
Tm2 0.5240 0.8518 0.4482
Cd2 0.6482 0.6183 0.6889
Sb2 0.6602 0.7840 0.2859

Calculated values
**Symmetry**: No. 2
**Energy relative to the elements, uncorrected**: -382.3 meV per atom


## CeCo3Ge3 (PBE)

Data for an optimized crystal structure of CeCo3Ge3.

Cell lengths 6.3921, 6.3921, 6.3921 Å; angles 90.00, 90.00, 90.00 degrees
Atoms (fractional coordinates):
Ge1 0.2500 0.5000 0.0000
Co1 0.0000 0.5000 0.7500
Co2 0.7500 0.0000 0.5000
Co3 0.0000 0.5000 0.2500
Co4 0.2500 0.0000 0.5000
Ge2 0.0000 0.2500 0.5000
Co5 0.5000 0.7500 0.0000
Ge3 0.5000 0.0000 0.7500
Ce1 0.0000 0.0000 0.0000
Co6 0.5000 0.2500 0.0000
Ge4 0.7500 0.5000 0.0000
Ge5 0.0000 0.7500 0.5000
Ce2 0.5000 0.5000 0.5000
Ge6 0.5000 0.0000 0.2500

Calculated values
**E_form**: -0.03 eV per atom
**Symmetry**: No. 223
**Energy relative to the lowest polymorph listed for this composition**: 2.05 eV per formula unit


## Li4CdAs2 (PBE)

Data for an optimized crystal structure of Li4CdAs2.

Cell lengths 4.5209, 4.5209, 8.7939 Å; angles 75.10, 75.10, 60.00 degrees
Atoms (fractional coordinates):
As1 0.9000 0.9000 0.3000
Li1 0.7938 0.7938 0.6185
Cd1 0.0000 0.0000 0.0000
Li2 0.4216 0.4216 0.7353
As2 0.1000 0.1000 0.7000
Li3 0.5784 0.5784 0.2647
Li4 0.2062 0.2062 0.3815

Calculated values
**E_form**: -0.54 eV per atom
**Symmetry**: No. 166


## Dy2MnCo2 (PBE)

Data for an optimized crystal structure of Dy2MnCo2.

Cell lengths 5.3701, 5.3912, 7.4424 Å; angles 101.77, 90.00, 119.87 degrees
Atoms (fractional coordinates):
Co1 0.9984 0.2739 0.0029
Mn1 0.8827 0.0000 0.2500
Co2 0.0016 0.7261 0.9971
Dy1 0.4883 0.7047 0.8524
Dy2 0.5117 0.2953 0.1476
Dy3 0.2164 0.7047 0.3524
Dy4 0.7836 0.2953 0.6476
Co3 0.7245 0.7261 0.4971
Mn2 0.1173 0.0000 0.7500
Co4 0.2755 0.2739 0.5029

Calculated values
**E_form**: -0.15 eV per atom
**Symmetry**: No. 15


## Pm6Cu2Rh (PBE)

Data for an optimized crystal structure of Pm6Cu2Rh.

Cell lengths 6.6789, 7.3964, 10.4247 Å; angles 90.00, 91.79, 90.00 degrees
Atoms (fractional coordinates):
Pm1 0.6508 0.4619 0.2543
Pm2 0.8492 0.9619 0.2457
Cu1 0.5613 0.8889 0.7384
Pm3 0.1760 0.3243 0.4274
Pm4 0.1508 0.0381 0.7543
Cu2 0.9387 0.3889 0.7616
Pm5 0.8379 0.6881 0.9299
Pm6 0.1621 0.3119 0.0701
Cu3 0.4387 0.1111 0.2616
Pm7 0.6760 0.1757 0.9274
Pm8 0.6621 0.1881 0.5701
Rh1 0.0000 0.0000 0.5000
Pm9 0.3379 0.8119 0.4299
Pm10 0.3492 0.5381 0.7457
Cu4 0.0613 0.6111 0.2384
Pm11 0.3240 0.8243 0.0726
Pm12 0.8240 0.6757 0.5726
Rh2 0.5000 0.5000 0.0000

Calculated values
**E_form**: -0.19 eV per atom
**Symmetry**: No. 14


## Rb2SiBrF6 (PBE)

Data for an optimized crystal structure of Rb2SiBrF6.

Cell lengths 6.7817, 6.7817, 6.4744 Å; angles 58.42, 58.42, 90.00 degrees
Atoms (fractional coordinates):
Rb1 0.2500 0.7500 0.5000
F1 0.3216 0.3216 0.0000
F2 0.6784 0.6784 0.0000
F3 0.6992 0.6992 0.6015
Si1 0.5000 0.5000 0.0000
F4 0.3216 0.6784 0.0000
F5 0.6784 0.3216 0.0000
F6 0.3008 0.3008 0.3985
Br1 0.0000 0.0000 0.0000
Rb2 0.7500 0.2500 0.5000

Calculated values
**Symmetry**: No. 139
**Energy relative to the elements, uncorrected**: -2647.1 meV per atom


## SrTl2Ge2Au7 (PBE)

Data for an optimized crystal structure of SrTl2Ge2Au7.

Cell lengths 5.0404, 5.0404, 11.8521 Å; angles 82.26, 82.26, 87.74 degrees
Atoms (fractional coordinates):
Au1 0.5699 0.5699 0.5972
Au2 0.4301 0.4301 0.4028
Au3 0.5624 0.1591 0.8198
Sr1 0.0000 0.0000 0.0000
Ge1 0.3033 0.3033 0.2180
Au4 0.1591 0.5624 0.8198
Au5 0.4376 0.8409 0.1802
Tl1 0.8649 0.8649 0.3820
Au6 0.8409 0.4376 0.1802
Ge2 0.6967 0.6967 0.7820
Au7 0.5000 0.5000 0.0000
Tl2 0.1351 0.1351 0.6180

Calculated values
**E_form**: -0.21 eV per atom
**Symmetry**: No. 12


## TaMnCrMo (PBE)

Data for an optimized crystal structure of TaMnCrMo.

Cell lengths 4.3003, 4.3003, 4.3003 Å; angles 60.00, 60.00, 60.00 degrees
Atoms (fractional coordinates):
Cr1 0.2500 0.2500 0.2500
Mo1 0.0000 0.0000 0.0000
Mn1 0.7500 0.7500 0.7500
Ta1 0.5000 0.5000 0.5000

Calculated values
**E_form**: -0.04 eV per atom
**Symmetry**: No. 216


## Fe2RuRh (PBE)

Data for an optimized crystal structure of Fe2RuRh.

Cell lengths 4.5687, 4.5687, 4.5098 Å; angles 79.86, 79.86, 33.92 degrees
Atoms (fractional coordinates):
Fe1 0.9986 0.9986 0.9990
Fe2 0.2518 0.2518 0.2472
Ru1 0.7493 0.7493 0.7570
Rh1 0.5003 0.5003 0.4967

Calculated values
**E_form**: 0.09 eV per atom
**Symmetry**: No. 8